First-principles (PBE) data for crystalline Ag2SbIr2 at its relaxed geometry, as listed in Alexandria via LeMat-Bulk.

Unit cell a=6.550 b=6.550 c=4.422 alpha=90.00 beta=90.00 gamma=90.00
Atoms (fractional coordinates):
Ag 0.662 0.838 0.500
Ag 0.838 0.338 0.500
Ag 0.338 0.162 0.500
Ag 0.162 0.662 0.500
Ir 0.136 0.364 0.000
Ir 0.364 0.864 0.000
Ir 0.636 0.136 0.000
Ir 0.864 0.636 0.000
Sb 0.500 0.500 0.000
Sb 0.000 0.000 0.000

Computed properties:
spin magnetization: 0.00 μB/cell
total DFT energy (no corrections): -5.23 eV/atom
SG: P4/mbm (127)
formation energy from raw total energies: 26.6 kJ/mol of atoms